(1)
Below is crystalline NbBi3I at its relaxed geometry, with properties calculated at the GGA-PBE level.

- Theoretical density: 8.3 g/cm³
- Size of the total moment: 0.00 μB/f.u.
- Formation energy from raw total energies: 0.237 eV per atom
- Volume: 169.2 Å³ per cell
- Energy relative to the lowest polymorph listed for this composition: 0 meV per atom

a = 5.5308 Å, b = 5.5308 Å, c = 5.5308 Å
α = 90.00°, β = 90.00°, γ = 90.00°
Last column: nearest neighbours and their distance in Å.
Fractional positions:
Nb (0.0000, 0.0000, 0.0000)  6 Bi 2.77
Bi (0.0000, 0.0000, 0.5000)  2 Nb 2.77
Bi (0.0000, 0.5000, 0.0000)  2 Nb 2.77
Bi (0.5000, 0.0000, 0.0000)  2 Nb 2.77
I (0.5000, 0.5000, 0.5000)  12 Bi 3.91

=====

(2)
Below is crystalline NbBiI3 at its relaxed geometry, with properties calculated at the GGA-PBE level.

- Theoretical density: 6.2 g/cm³
- Size of the total moment: 3.18 μB/f.u.
- Formation energy from raw total energies: 0.337 eV per atom
- Volume: 182.0 Å³ per cell
- Energy relative to the lowest polymorph listed for this composition: 0 meV per atom

a = 5.6674 Å, b = 5.6674 Å, c = 5.6674 Å
α = 90.00°, β = 90.00°, γ = 90.00°
Last column: nearest neighbours and their distance in Å.
Fractional positions:
Nb (0.0000, 0.0000, 0.0000)  6 I 2.83
Bi (0.5000, 0.5000, 0.5000)  12 I 4.01
I (0.0000, 0.0000, 0.5000)  2 Nb 2.83
I (0.0000, 0.5000, 0.0000)  2 Nb 2.83
I (0.5000, 0.0000, 0.0000)  2 Nb 2.83

=====

(3)
Below is crystalline NbBi3I at its relaxed geometry, with properties calculated at the GGA-PBE level.

- Theoretical density: 7.1 g/cm³
- Size of the total moment: 2.80 μB/f.u.
- Formation energy from raw total energies: 1.569 eV per atom
- Volume: 196.7 Å³ per cell
- Energy relative to the lowest polymorph listed for this composition: 1332 meV per atom

a = 5.8152 Å, b = 5.8152 Å, c = 5.8152 Å
α = 90.00°, β = 90.00°, γ = 90.00°
Last column: nearest neighbours and their distance in Å.
Fractional positions:
Nb (0.0000, 0.0000, 0.0000)  12 Bi 4.11
Bi (0.0000, 0.5000, 0.5000)  2 I 2.91
Bi (0.5000, 0.0000, 0.5000)  2 I 2.91
Bi (0.5000, 0.5000, 0.0000)  2 I 2.91
I (0.5000, 0.5000, 0.5000)  6 Bi 2.91

=====

(4)
Below is crystalline NbBiI2 at its relaxed geometry, with properties calculated at the GGA-PBE level.

- Theoretical density: 8.7 g/cm³
- Size of the total moment: 1.10 μB/f.u.
- Formation energy from raw total energies: 0.664 eV per atom
- Volume: 105.6 Å³ per cell
- Energy relative to the lowest polymorph listed for this composition: 485 meV per atom

a = 5.3055 Å, b = 5.3055 Å, c = 5.3055 Å
α = 60.00°, β = 60.00°, γ = 60.00°
Last column: nearest neighbours and their distance in Å.
Fractional positions:
Nb (0.0000, 0.0000, 0.0000)  8 I 3.25
Bi (0.5000, 0.5000, 0.5000)  8 I 3.25
I (0.2500, 0.2500, 0.2500)  4 Nb 3.25, 4 Bi 3.25
I (0.7500, 0.7500, 0.7500)  4 Nb 3.25, 4 Bi 3.25

=====

(5)
Below is crystalline NbBiSbI2 at its relaxed geometry, with properties calculated at the GGA-PBE level.

- Theoretical density: 6.6 g/cm³
- Size of the total moment: 2.00 μB/f.u.
- Formation energy from raw total energies: 0.421 eV per atom
- Volume: 169.7 Å³ per cell
- Energy relative to the lowest polymorph listed for this composition: 0 meV per atom

a = 5.4465 Å, b = 5.4465 Å, c = 5.7206 Å
α = 90.00°, β = 90.00°, γ = 90.00°
Last column: nearest neighbours and their distance in Å.
Fractional positions:
Nb (0.0000, 0.0000, 0.0000)  4 I 2.72, 2 Sb 2.86
Bi (0.5000, 0.5000, 0.5000)  4 Sb 3.85, 8 I 3.95
Sb (0.0000, 0.0000, 0.5000)  2 Nb 2.86
I (0.0000, 0.5000, 0.0000)  2 Nb 2.72
I (0.5000, 0.0000, 0.0000)  2 Nb 2.72

=====

(6)
Below is crystalline NbZn2BiI at its relaxed geometry, with properties calculated at the GGA-PBE level.

- Theoretical density: 6.4 g/cm³
- Size of the total moment: 0.00 μB/f.u.
- Formation energy from raw total energies: 0.813 eV per atom
- Volume: 144.4 Å³ per cell

a = 5.2565 Å, b = 5.2565 Å, c = 5.2278 Å
α = 90.00°, β = 90.00°, γ = 90.00°
Last column: nearest neighbours and their distance in Å.
Fractional positions:
Nb (0.0000, 0.0000, 0.0000)  2 I 2.61, 4 Zn 2.63
Zn (0.0000, 0.5000, 0.0000)  2 Nb 2.63
Zn (0.5000, 0.0000, 0.0000)  2 Nb 2.63
Bi (0.5000, 0.5000, 0.5000)  8 Zn 3.71, 4 I 3.72
I (0.0000, 0.0000, 0.5000)  2 Nb 2.61